# 1
Y8CuRu2 | PBE-GGA | optimized geometry

a b c (Å): 8.503 12.542 5.922
angles (deg): 90.00 107.55 90.00
Space group Cm (No. 8)
Symmetry-distinct sites (fractional):
Y: 0.000 0.000 0.000
Y: 0.073 0.367 0.799
Y: 0.159 0.133 0.597
Y: 0.236 0.500 0.388
Y: 0.371 0.221 0.194
Cu: 0.371 0.000 0.034
Ru: 0.364 0.311 0.696

* crystal system: monoclinic
* formation enthalpy at 0 K: -0.14 eV per atom

# 2
YCuRu2 | PBE-GGA | optimized geometry

a b c (Å): 3.295 3.295 6.235
angles (deg): 90.00 90.00 90.00
Space group P4/mmm (No. 123)
Symmetry-distinct sites (fractional):
Y: 0.000 0.000 0.000
Cu: 0.000 0.000 0.500
Ru: 0.500 0.500 0.301

* crystal system: tetragonal
* formation enthalpy at 0 K: 0.19 eV per atom
* excess energy over the best structure of this formula in the dataset: 0.1095 eV per atom

# 3
YCu2Ru | PBE-GGA | optimized geometry

a b c (Å): 4.059 4.059 18.143
angles (deg): 90.00 90.00 90.00
Space group I-42d (No. 122)
Symmetry-distinct sites (fractional):
Y: 0.000 0.000 0.000
Cu: 0.148 0.250 0.625
Ru: 0.000 0.000 0.500

* crystal system: tetragonal
* formation enthalpy at 0 K: 0.27 eV per atom
* excess energy over the best structure of this formula in the dataset: 0.3105 eV per atom

# 4
Y2CuRu | PBE-GGA | optimized geometry

a b c (Å): 6.868 6.879 6.926
angles (deg): 90.00 90.00 90.00
Space group Fmmm (No. 69)
Symmetry-distinct sites (fractional):
Y: 0.250 0.250 0.250
Cu: 0.000 0.000 0.000
Ru: 0.000 0.000 0.500

* crystal system: orthorhombic
* formation enthalpy at 0 K: -0.32 eV per atom

# 5
Y8Cu2Ru | PBE-GGA | optimized geometry

a b c (Å): 17.312 5.137 6.733
angles (deg): 90.00 107.60 90.00
Space group C2/m (No. 12)
Symmetry-distinct sites (fractional):
Y: 0.033 0.000 0.296
Y: 0.091 0.500 0.939
Y: 0.167 0.500 0.477
Y: 0.198 0.000 0.821
Cu: 0.183 0.000 0.217
Ru: 0.000 0.500 0.500

* crystal system: monoclinic
* formation enthalpy at 0 K: -0.17 eV per atom
* excess energy over the best structure of this formula in the dataset: 0.0000 eV per atom

# 6
YCu2Ru | PBE-GGA | optimized geometry

a b c (Å): 4.007 4.007 4.013
angles (deg): 90.00 90.00 90.00
Space group P4/mmm (No. 123)
Symmetry-distinct sites (fractional):
Y: 0.000 0.000 0.000
Cu: 0.000 0.500 0.500
Ru: 0.500 0.500 0.000

* crystal system: tetragonal
* formation enthalpy at 0 K: -0.04 eV per atom
* excess energy over the best structure of this formula in the dataset: 0.0000 eV per atom

Q: Look up the formation enthalpy at 0 K of the fourth one.
A: -0.32 eV per atom